A | The following is a PBE calculation of a relaxed HfSiF3 crystal, from Alexandria.

a b c (Å): 4.276 4.276 4.276
angles (deg): 90.00 90.00 90.00
Fractional coordinates of all 5 atoms:
F: 0.000 0.500 0.000
Si: 0.500 0.500 0.500
F: 0.500 0.000 0.000
F: 0.000 0.000 0.500
Hf: 0.000 0.000 0.000

**Calculated volume**: 15.63 A^3/atom
**Total magnetic moment**: 2.805 μB per formula unit
**D(E_F)**: 4.702 states/eV/cell

---

B | The following is a PBE calculation of a relaxed HfSiF3 crystal, from Alexandria.

a b c (Å): 4.305 4.305 4.305
angles (deg): 90.00 90.00 90.00
Fractional coordinates of all 5 atoms:
Si: 0.000 0.000 0.000
F: 0.000 0.500 0.000
F: 0.000 0.000 0.500
Hf: 0.500 0.500 0.500
F: 0.500 0.000 0.000

**Calculated volume**: 15.96 A^3/atom
**Total magnetic moment**: 1.874 μB per formula unit
**D(E_F)**: 8.964 states/eV/cell

---

The relative energies come out as A 0; B 992, with values in meV/atom.

---

A | The following is a PBE calculation of a relaxed HfSi2F crystal, from Alexandria.

a b c (Å): 4.687 4.687 7.376
angles (deg): 71.47 71.47 90.00
Fractional coordinates of all 8 atoms:
Si: 0.281 0.625 0.250
F: 0.250 0.750 0.500
Si: 0.875 0.719 0.750
Hf: 0.000 0.000 0.000
F: 0.500 0.500 0.000
Si: 0.375 0.531 0.750
Hf: 0.750 0.250 0.500
Si: 0.469 0.125 0.250

**Calculated volume**: 18.09 A^3/atom
**Total magnetic moment**: 0.000 μB per formula unit
**D(E_F)**: 4.866 states/eV/cell

---

B | The following is a PBE calculation of a relaxed HfSi2F crystal, from Alexandria.

a b c (Å): 4.528 4.528 4.528
angles (deg): 60.00 60.00 60.00
Fractional coordinates of all 4 atoms:
Si: 0.250 0.250 0.250
Si: 0.750 0.750 0.750
Hf: 0.500 0.500 0.500
F: 0.000 0.000 0.000

**Calculated volume**: 16.41 A^3/atom
**Total magnetic moment**: 0.000 μB per formula unit
**D(E_F)**: 2.687 states/eV/cell

---

The relative energies come out as A 183; B 0, with values in meV/atom.